Below is a relaxed CaNi2 crystal, with properties calculated at the PBE level.

a = 7.6759 Å, b = 7.6759 Å, c = 4.0018 Å
α = 90.00°, β = 90.00°, γ = 151.46°
With the nearest neighbours (Å) after each atom.
Positions (direct):
Ca (0.0995, 0.9005, 0.7500)  8 Ni 2.88-3.02
Ca (0.9005, 0.0995, 0.2500)  8 Ni 2.88-3.02
Ni (0.2515, 0.7485, 0.2500)  4 Ni 2.36-2.42
Ni (0.3434, 0.6566, 0.7500)  4 Ni 2.36-2.42
Ni (0.6566, 0.3434, 0.2500)  4 Ni 2.36-2.42
Ni (0.7485, 0.2515, 0.7500)  4 Ni 2.36-2.42

Calculated values
Total magnetization   0.4 μB per formula unit
Crystal system   orthorhombic
Energy of formation   79 meV per atom
D(E_F)   10.58 states/eV per cell